Below is a relaxed La3CeSm crystal, with properties calculated at the PBE level.

Structure (POSCAR):
```
La3CeSm
1.0
1.9874 -0.8142 -7.3950
2.0949 -6.2342 1.2494
-7.0903 -1.9187 2.3151
La Ce Sm
6 2 2
Direct
0.8106 0.7500 0.6213
0.6213 0.2500 0.8106
0.1894 0.2500 0.3787
0.1893 0.2500 0.8106
0.3787 0.7500 0.1894
0.8107 0.7500 0.1894
0.0000 0.5000 0.0000
0.0000 0.0000 0.0000
0.3335 0.7500 0.6671
0.6665 0.2500 0.3329
```

**Energy of formation**: 0.225 eV/atom
**Fermi-level density of states**: 6.342 states/eV/f.u.


Below is a relaxed ZrAl2Se crystal, with properties calculated at the PBE level.

Structure (POSCAR):
```
ZrAl2Se
1.0
7.5591 0.0000 0.0000
0.0000 7.5591 0.0000
3.7795 3.7795 2.7945
Se Zr Al
2 2 4
Direct
0.5000 0.5000 0.0000
0.2500 0.7500 0.5000
0.0000 0.0000 0.0000
0.7500 0.2500 0.5000
0.5990 0.1250 0.2500
0.1510 0.6250 0.2500
0.3750 0.4010 0.7500
0.8750 0.8490 0.7500
```

**Energy relative to the elements, uncorrected**: -0.1261 eV per atom
**Fermi-level density of states**: 2.779 states/eV/f.u.


Below is a relaxed AlSe2Br crystal, with properties calculated at the PBE level.

Structure (POSCAR):
```
AlSe2Br
1.0
3.5055 0.0000 0.0000
0.0000 5.0651 -0.3317
0.0000 0.2355 7.4183
Se Br Al
2 1 1
Direct
0.0000 0.9155 0.2038
0.5000 0.3620 0.2196
0.5000 0.6434 0.6594
0.0000 0.5791 0.4171
```

**Energy relative to the elements, uncorrected**: -0.4281 eV per atom
**Fermi-level density of states**: 1.379 states/eV/f.u.


What are the calculated volume values for these records? In order: 34.38; 19.96; 33.00 Å³/atom.